# SrTlCdPd3

SrTlCdPd3 after structural relaxation (GGA-PBE, Alexandria via LeMat-Bulk).

Cell lengths 9.5237, 9.5237, 5.7986 Å; angles 90.00, 90.00, 144.31 degrees
Fractional coordinates of all 12 atoms:
Sr (0.2155, 0.7845, 0.7500)
Sr (0.7845, 0.2155, 0.2500)
Tl (0.4006, 0.5994, 0.2500)
Tl (0.5994, 0.4006, 0.7500)
Cd (0.1045, 0.8955, 0.2500)
Cd (0.8955, 0.1045, 0.7500)
Pd (0.2400, 0.2400, 0.0000)
Pd (0.2400, 0.2400, 0.5000)
Pd (0.2521, 0.7479, 0.2500)
Pd (0.7479, 0.2521, 0.7500)
Pd (0.7600, 0.7600, 0.0000)
Pd (0.7600, 0.7600, 0.5000)

Theoretical density: 7833 kg/m³
Crystal system: orthorhombic
Total energy: -3.66 eV per atom

# Sr2TlCdPd

Sr2TlCdPd after structural relaxation (GGA-PBE, Alexandria via LeMat-Bulk).

Cell lengths 5.8110, 5.8110, 5.2374 Å; angles 90.00, 90.00, 90.00 degrees
Fractional coordinates of all 5 atoms:
Sr (0.0000, 0.5000, 0.0000)
Sr (0.5000, 0.0000, 0.0000)
Tl (0.0000, 0.0000, 0.5000)
Cd (0.5000, 0.5000, 0.5000)
Pd (0.5000, 0.5000, 0.0000)

Theoretical density: 5619 kg/m³
Crystal system: tetragonal
Total energy: -2.68 eV per atom
ΔE to the lowest computed polymorph: 0.000 eV/atom

# SrTlCd2Pd

SrTlCd2Pd after structural relaxation (GGA-PBE, Alexandria via LeMat-Bulk).

Cell lengths 5.2622, 5.2622, 5.2729 Å; angles 90.00, 90.00, 90.00 degrees
Fractional coordinates of all 5 atoms:
Sr (0.0000, 0.0000, 0.0000)
Tl (0.5000, 0.5000, 0.0000)
Cd (0.0000, 0.5000, 0.5000)
Cd (0.5000, 0.0000, 0.5000)
Pd (0.5000, 0.5000, 0.5000)

Theoretical density: 7088 kg/m³
Crystal system: tetragonal
Total energy: -2.44 eV per atom
ΔE to the lowest computed polymorph: 0.000 eV/atom

- The highest theoretical density belongs to which entry?
  SrTlCdPd3